A relaxed structure of Dy4HoPu3S8. Source: Alexandria, functional GGA-PBE.

abc: 7.856 7.856 7.856
angles: 59.74 59.74 59.74
Positions (direct):
Dy: 0.000 0.000 0.000
Dy: 0.000 0.500 0.500
Dy: 0.500 0.000 0.500
Dy: 0.500 0.500 0.000
Ho: 0.500 0.500 0.500
Pu: 0.000 0.000 0.500
Pu: 0.000 0.500 0.000
Pu: 0.500 0.000 0.000
S: 0.251 0.251 0.251
S: 0.251 0.251 0.747
S: 0.251 0.747 0.251
S: 0.253 0.749 0.749
S: 0.747 0.251 0.251
S: 0.749 0.253 0.749
S: 0.749 0.749 0.253
S: 0.749 0.749 0.749

Output
SG = No. 166
DFT total energy = -0.2985 hartree per atom
mass density = 8.8 g/cm3

=====

A relaxed structure of Mg2Al3Zn. Source: Alexandria, functional GGA-PBE.

abc: 5.353 5.353 5.372
angles: 119.33 119.33 60.63
Positions (direct):
Mg: 0.125 0.125 0.376
Mg: 0.875 0.875 0.624
Al: 0.000 0.500 0.000
Al: 0.500 0.000 0.000
Al: 0.500 0.500 0.500
Zn: 0.500 0.500 0.000

Output
energy of formation from the pure elements = -0.036 eV per atom
SG = No. 12
mass density = 2.9 g/cm3

=====

A relaxed structure of Ca2LaF7. Source: Alexandria, functional GGA-PBE.

abc: 4.033 4.033 9.919
angles: 90.00 90.00 120.00
Positions (direct):
Ca: 0.000 0.000 0.000
Ca: 0.333 0.667 0.313
La: 0.667 0.333 0.664
F: 0.000 0.000 0.236
F: 0.000 0.000 0.679
F: 0.333 0.667 0.081
F: 0.333 0.667 0.541
F: 0.333 0.667 0.791
F: 0.667 0.333 0.399
F: 0.667 0.333 0.924

Output
SG = No. 156
DFT total energy = -0.2264 hartree per atom
mass density = 4.2 g/cm3

=====

A relaxed structure of CrAsAu2. Source: Alexandria, functional GGA-PBE.

abc: 4.917 4.917 4.917
angles: 128.50 128.50 75.82
Positions (direct):
Cr: 0.000 0.000 0.000
As: 0.250 0.750 0.500
Au: 0.500 0.500 0.000
Au: 0.750 0.250 0.500

Output
energy of formation from the pure elements = 0.192 eV per atom
SG = No. 119
mass density = 12.2 g/cm3

=====

A relaxed structure of Rh2ClO. Source: Alexandria, functional GGA-PBE.

abc: 7.012 7.012 7.012
angles: 141.38 141.38 55.77
Positions (direct):
Rh: 0.010 0.625 0.885
Rh: 0.375 0.260 0.385
Rh: 0.740 0.125 0.115
Rh: 0.875 0.990 0.615
Cl: 0.250 0.750 0.500
Cl: 0.500 0.500 0.000
O: 0.000 0.000 0.000
O: 0.750 0.250 0.500

Output
SG = No. 122
offset from the most stable computed form = 0 meV per atom
mass density = 6.4 g/cm3

=====

A relaxed structure of NbVH3. Source: Alexandria, functional GGA-PBE.

abc: 3.554 3.554 3.554
angles: 90.00 90.00 90.00
Positions (direct):
Nb: 0.000 0.000 0.000
V: 0.500 0.500 0.500
H: 0.000 0.000 0.500
H: 0.000 0.500 0.000
H: 0.500 0.000 0.000

Output
SG = No. 221
offset from the most stable computed form = 310 meV per atom
mass density = 5.4 g/cm3

=====

A relaxed structure of K2LaIr. Source: Alexandria, functional GGA-PBE.

abc: 4.886 4.886 5.717
angles: 90.00 90.00 90.00
Positions (direct):
K: 0.000 0.000 0.233
K: 0.000 0.000 0.767
La: 0.500 0.500 0.500
Ir: 0.500 0.500 0.000

Output
energy of formation from the pure elements = 0.692 eV per atom
SG = No. 123
offset from the most stable computed form = 773 meV per atom
mass density = 5.0 g/cm3

=====

A relaxed structure of NdDy3. Source: Alexandria, functional GGA-PBE.

abc: 6.196 6.196 6.196
angles: 131.83 131.83 70.49
Positions (direct):
Nd: 0.000 0.000 0.000
Dy: 0.250 0.750 0.500
Dy: 0.500 0.500 0.000
Dy: 0.750 0.250 0.500

Output
energy of formation from the pure elements = 0.018 eV per atom
SG = No. 139
offset from the most stable computed form = 3 meV per atom
mass density = 8.1 g/cm3